First-principles (PBE-GGA) data for crystalline MgCd3Ga at its relaxed geometry, as listed in Alexandria via LeMat-Bulk.

Volume   143.1 Å³/f.u.
ΔE to the lowest computed polymorph   287 meV/atom
Density   5.0 g cm⁻³
Symmetry   Pm-3m, No. 221
Formation energy from the elements   0.2819 eV/atom
N(E_F)   0.411 states/eV/atom

Unit cell a=5.230 b=5.230 c=5.230 alpha=90.00 beta=90.00 gamma=90.00
Positions (direct):
Mg  0.000  0.000  0.000
Cd  0.000  0.500  0.500
Cd  0.500  0.000  0.500
Cd  0.500  0.500  0.000
Ga  0.500  0.500  0.500